1.
Density functional theory data (GGA-PBE) for a relaxed structure of Tc3W.

Computed properties:
Formation energy from the elements   0.12 eV per atom
E   -10.893 eV per atom
Space-group type   C2/m

Unit cell a=9.1870 b=2.7714 c=4.8008 alpha=90.00 beta=100.07 gamma=90.00
Last column: nearest neighbours and their distance in Å.
Atoms (fractional coordinates):
Tc (0.0000, 0.0000, 0.0000)  8 Tc 2.73-2.78, 4 W 2.77
Tc (0.2456, 0.5000, 0.2413)  9 Tc 2.71-2.83, 3 W 2.76-2.81
Tc (0.2544, 0.0000, 0.7587)  9 Tc 2.71-2.83, 3 W 2.76-2.81
Tc (0.5000, 0.5000, 0.0000)  8 Tc 2.73-2.78, 4 W 2.77
Tc (0.7456, 0.0000, 0.2413)  9 Tc 2.71-2.83, 3 W 2.76-2.81
Tc (0.7544, 0.5000, 0.7587)  9 Tc 2.71-2.83, 3 W 2.76-2.81
W (0.0000, 0.5000, 0.5000)  10 Tc 2.76-2.81, 2 W 2.77
W (0.5000, 0.0000, 0.5000)  10 Tc 2.76-2.81, 2 W 2.77

---

2.
Density functional theory data (GGA-PBE) for a relaxed structure of Tc3W.

Computed properties:
Formation energy from the elements   0.17 eV per atom
E   -10.847 eV per atom
Space-group type   Pm-3n

Unit cell a=4.9625 b=4.9625 c=4.9625 alpha=90.00 beta=90.00 gamma=90.00
Last column: nearest neighbours and their distance in Å.
Atoms (fractional coordinates):
Tc (0.0000, 0.2500, 0.5000)  2 Tc 2.48, 4 W 2.77
Tc (0.0000, 0.7500, 0.5000)  2 Tc 2.48, 4 W 2.77
Tc (0.2500, 0.5000, 0.0000)  2 Tc 2.48, 4 W 2.77
Tc (0.5000, 0.0000, 0.2500)  2 Tc 2.48, 4 W 2.77
Tc (0.5000, 0.0000, 0.7500)  2 Tc 2.48, 4 W 2.77
Tc (0.7500, 0.5000, 0.0000)  2 Tc 2.48, 4 W 2.77
W (0.0000, 0.0000, 0.0000)  12 Tc 2.77
W (0.5000, 0.5000, 0.5000)  12 Tc 2.77

---

3.
Density functional theory data (GGA-PBE) for a relaxed structure of Tc4W5.

Computed properties:
Distance to the lowest polymorph of the same formula   0 meV/atom
Formation energy from the elements   0.10 eV per atom
E   -11.700 eV per atom
Space-group type   I4/mmm

Unit cell a=6.8502 b=6.8502 c=6.8502 alpha=93.03 beta=93.03 gamma=153.43
Last column: nearest neighbours and their distance in Å.
Atoms (fractional coordinates):
Tc (0.0000, 0.3302, 0.3302)  4 W 2.71, 4 Tc 2.76
Tc (0.0000, 0.6698, 0.6698)  4 W 2.71, 4 Tc 2.76
Tc (0.3302, 0.0000, 0.3302)  4 W 2.71, 4 Tc 2.76
Tc (0.6698, 0.0000, 0.6698)  4 W 2.71, 4 Tc 2.76
W (0.0000, 0.0000, 0.0000)  8 W 2.74
W (0.3319, 0.3319, 0.6638)  4 W 2.69-2.74, 4 Tc 2.71
W (0.3319, 0.6681, 0.0000)  4 W 2.69-2.74, 4 Tc 2.71
W (0.6681, 0.3319, 0.0000)  4 W 2.69-2.74, 4 Tc 2.71
W (0.6681, 0.6681, 0.3362)  4 W 2.69-2.74, 4 Tc 2.71

---

4.
Density functional theory data (GGA-PBE) for a relaxed structure of YTcW2.

Computed properties:
Distance to the lowest polymorph of the same formula   201 meV/atom
Formation energy from the elements   0.43 eV per atom
E   -10.252 eV per atom
Space-group type   Cmmm

Unit cell a=3.2368 b=4.6638 c=9.4610 alpha=90.00 beta=90.00 gamma=90.00
Last column: nearest neighbours and their distance in Å.
Atoms (fractional coordinates):
Y (0.0000, 0.0000, 0.0000)  4 Y 2.84, 4 W 3.09
Y (0.5000, 0.5000, 0.0000)  4 Y 2.84, 4 W 3.09
Tc (0.0000, 0.0000, 0.5000)  4 W 2.65, 4 Tc 2.84
Tc (0.5000, 0.5000, 0.5000)  4 W 2.65, 4 Tc 2.84
W (0.0000, 0.5000, 0.2785)  2 Tc 2.65, 4 W 2.84
W (0.0000, 0.5000, 0.7215)  2 Tc 2.65, 4 W 2.84
W (0.5000, 0.0000, 0.2785)  2 Tc 2.65, 4 W 2.84
W (0.5000, 0.0000, 0.7215)  2 Tc 2.65, 4 W 2.84

---

5.
Density functional theory data (GGA-PBE) for a relaxed structure of YTcW2.

Computed properties:
Distance to the lowest polymorph of the same formula   257 meV/atom
Formation energy from the elements   0.49 eV per atom
E   -10.196 eV per atom
Space-group type   Fm-3m

Unit cell a=6.5366 b=6.5366 c=6.5366 alpha=90.00 beta=90.00 gamma=90.00
Last column: nearest neighbours and their distance in Å.
Atoms (fractional coordinates):
Y (0.0000, 0.0000, 0.0000)  8 W 2.83
Y (0.0000, 0.5000, 0.5000)  8 W 2.83
Y (0.5000, 0.0000, 0.5000)  8 W 2.83
Y (0.5000, 0.5000, 0.0000)  8 W 2.83
Tc (0.0000, 0.0000, 0.5000)  8 W 2.83
Tc (0.0000, 0.5000, 0.0000)  8 W 2.83
Tc (0.5000, 0.0000, 0.0000)  8 W 2.83
Tc (0.5000, 0.5000, 0.5000)  8 W 2.83
W (0.2500, 0.2500, 0.2500)  4 Tc 2.83, 4 Y 2.83
W (0.2500, 0.2500, 0.7500)  4 Y 2.83, 4 Tc 2.83
W (0.2500, 0.7500, 0.2500)  4 Y 2.83, 4 Tc 2.83
W (0.2500, 0.7500, 0.7500)  4 Tc 2.83, 4 Y 2.83
W (0.7500, 0.2500, 0.2500)  4 Y 2.83, 4 Tc 2.83
W (0.7500, 0.2500, 0.7500)  4 Tc 2.83, 4 Y 2.83
W (0.7500, 0.7500, 0.2500)  4 Tc 2.83, 4 Y 2.83
W (0.7500, 0.7500, 0.7500)  4 Tc 2.83, 4 Y 2.83

---

6.
Density functional theory data (GGA-PBE) for a relaxed structure of YTcW2.

Computed properties:
Distance to the lowest polymorph of the same formula   195 meV/atom
Formation energy from the elements   0.43 eV per atom
E   -10.258 eV per atom
Space-group type   C2/m

Unit cell a=5.5435 b=9.4832 c=2.8268 alpha=90.00 beta=108.28 gamma=90.00
Last column: nearest neighbours and their distance in Å.
Atoms (fractional coordinates):
Y (0.0000, 0.0000, 0.0000)  2 Tc 2.77, 2 Y 2.83, 4 W 2.88
Y (0.5000, 0.5000, 0.0000)  2 Tc 2.77, 2 Y 2.83, 4 W 2.88
Tc (0.0000, 0.5000, 0.0000)  2 Y 2.77, 2 Tc 2.83, 4 W 2.88
Tc (0.5000, 0.0000, 0.0000)  2 Y 2.77, 2 Tc 2.83, 4 W 2.88
W (0.2500, 0.2500, 0.5000)  4 W 2.77-2.83, 2 Tc 2.88, 2 Y 2.88
W (0.2500, 0.7500, 0.5000)  4 W 2.77-2.83, 2 Tc 2.88, 2 Y 2.88
W (0.7500, 0.2500, 0.5000)  4 W 2.77-2.83, 2 Tc 2.88, 2 Y 2.88
W (0.7500, 0.7500, 0.5000)  4 W 2.77-2.83, 2 Tc 2.88, 2 Y 2.88

---

7.
Density functional theory data (GGA-PBE) for a relaxed structure of Y3TcW.

Computed properties:
Distance to the lowest polymorph of the same formula   212 meV/atom
Formation energy from the elements   1.22 eV per atom
E   -7.326 eV per atom
Space-group type   Pm-3m

Unit cell a=5.3387 b=5.3387 c=5.3387 alpha=90.00 beta=90.00 gamma=90.00
Last column: nearest neighbours and their distance in Å.
Atoms (fractional coordinates):
Y (0.0000, 0.0000, 0.5000)  2 W 2.67
Y (0.0000, 0.5000, 0.0000)  2 W 2.67
Y (0.5000, 0.0000, 0.0000)  2 W 2.67
Tc (0.5000, 0.5000, 0.5000)  12 Y 3.78
W (0.0000, 0.0000, 0.0000)  6 Y 2.67

---

8.
Density functional theory data (GGA-PBE) for a relaxed structure of YTcW2.

Computed properties:
Distance to the lowest polymorph of the same formula   154 meV/atom
Formation energy from the elements   0.38 eV per atom
E   -10.299 eV per atom
Space-group type   Cm

Unit cell a=10.3460 b=3.2413 c=4.8655 alpha=90.00 beta=117.95 gamma=90.00
Last column: nearest neighbours and their distance in Å.
Atoms (fractional coordinates):
Y (0.0000, 0.0000, 0.0000)  2 Tc 2.89, 8 W 2.92-3.20
Y (0.5000, 0.5000, 0.0000)  2 Tc 2.89, 8 W 2.92-3.20
Tc (0.2620, 0.5000, 0.2625)  6 W 2.67-2.95, 2 Y 2.89
Tc (0.7620, 0.0000, 0.2625)  6 W 2.67-2.95, 2 Y 2.89
W (0.2266, 0.0000, 0.7259)  2 W 2.67, 4 Tc 2.94-2.95, 2 Y 2.98
W (0.4938, 0.0000, 0.4937)  2 Tc 2.67, 2 W 2.67, 4 Y 2.92
W (0.7266, 0.5000, 0.7259)  2 W 2.67, 4 Tc 2.94-2.95, 2 Y 2.98
W (0.9938, 0.5000, 0.4937)  2 Tc 2.67, 2 W 2.67, 4 Y 2.92